## w
Entry from the Alexandria database: LaOs2Cl after structural relaxation (PBE). Values from VASP.

Crystal system: tetragonal
Space-group type: No. 141
DOS at the Fermi energy: 5.3 states/eV/cell

```
&SYSTEM
  ibrav = 0, nat = 8, ntyp = 3
/
ATOMIC_SPECIES
Cl 35.45 Cl.upf
Os 190.23 Os.upf
La 138.91 La.upf
CELL_PARAMETERS angstrom
-0.5677 -0.5551 4.8939
3.4283 -3.5815 -0.0086
6.9113 3.1753 3.6732
ATOMIC_POSITIONS crystal
Cl 0.5000 0.5000 0.0000
Cl 0.2500 0.7500 0.5000
Os 0.3742 0.1250 0.2500
Os 0.3758 0.6250 0.2500
Os 0.3750 0.6258 0.7500
Os 0.8750 0.6242 0.7500
La 0.0000 0.0000 0.0000
La 0.7500 0.2500 0.5000
```

---

## x
Entry from the Alexandria database: LaOs2Cl after structural relaxation (PBE). Values from VASP.

Crystal system: cubic
Space-group type: No. 225
DOS at the Fermi energy: 5.1 states/eV/cell

```
&SYSTEM
  ibrav = 0, nat = 4, ntyp = 3
/
ATOMIC_SPECIES
Cl 35.45 Cl.upf
Os 190.23 Os.upf
La 138.91 La.upf
CELL_PARAMETERS angstrom
0.0000 3.3748 3.3748
3.3748 0.0000 3.3748
3.3748 3.3748 0.0000
ATOMIC_POSITIONS crystal
Cl 0.0000 0.0000 0.0000
Os 0.2500 0.2500 0.2500
Os 0.7500 0.7500 0.7500
La 0.5000 0.5000 0.5000
```

---

## y
Entry from the Alexandria database: LaOs2Cl after structural relaxation (PBE). Values from VASP.

Crystal system: orthorhombic
Space-group type: No. 65
DOS at the Fermi energy: 5.1 states/eV/cell

```
&SYSTEM
  ibrav = 0, nat = 4, ntyp = 3
/
ATOMIC_SPECIES
Cl 35.45 Cl.upf
Os 190.23 Os.upf
La 138.91 La.upf
CELL_PARAMETERS angstrom
-4.9842 -2.8257 2.0951
5.9162 -1.2262 0.8427
0.0196 1.7309 2.3812
ATOMIC_POSITIONS crystal
Cl 0.5000 0.0000 0.5000
Os 0.0000 0.0000 0.0000
Os 0.5000 0.5000 0.0000
La 0.0000 0.5000 0.5000
```

---

## z
Entry from the Alexandria database: LaOs2Cl after structural relaxation (PBE). Values from VASP.

Crystal system: tetragonal
Space-group type: No. 119
DOS at the Fermi energy: 6.2 states/eV/cell

```
&SYSTEM
  ibrav = 0, nat = 4, ntyp = 3
/
ATOMIC_SPECIES
Cl 35.45 Cl.upf
Os 190.23 Os.upf
La 138.91 La.upf
CELL_PARAMETERS angstrom
-1.2470 3.9596 -2.0561
-3.2875 -3.0289 -1.2162
0.3191 0.4595 4.5987
ATOMIC_POSITIONS crystal
Cl 0.5000 0.5000 0.0000
Os 0.0000 0.0000 0.0000
Os 0.2500 0.7500 0.5000
La 0.7500 0.2500 0.5000
```

---

Result of the stability comparison: x is the least stable of them.

---

## w
Entry from the Alexandria database: LaP2OsCl after structural relaxation (PBE). Values from VASP.

Crystal system: tetragonal
Space-group type: No. 123
DOS at the Fermi energy: 7.9 states/eV/cell

```
&SYSTEM
  ibrav = 0, nat = 5, ntyp = 4
/
ATOMIC_SPECIES
P 30.97 P.upf
Cl 35.45 Cl.upf
Os 190.23 Os.upf
La 138.91 La.upf
CELL_PARAMETERS angstrom
5.5794 0.0000 0.0000
0.0000 5.5794 0.0000
0.0000 0.0000 5.2751
ATOMIC_POSITIONS crystal
P 0.0000 0.5000 0.0000
P 0.5000 0.0000 0.0000
Cl 0.0000 0.0000 0.5000
Os 0.5000 0.5000 0.5000
La 0.0000 0.0000 0.0000
```

---

## x
Entry from the Alexandria database: LaP2OsCl after structural relaxation (PBE). Values from VASP.

Crystal system: tetragonal
Space-group type: No. 123
DOS at the Fermi energy: 4.4 states/eV/cell

```
&SYSTEM
  ibrav = 0, nat = 5, ntyp = 4
/
ATOMIC_SPECIES
P 30.97 P.upf
Cl 35.45 Cl.upf
Os 190.23 Os.upf
La 138.91 La.upf
CELL_PARAMETERS angstrom
4.5791 0.0000 0.0000
0.0000 4.5791 0.0000
0.0000 0.0000 5.0928
ATOMIC_POSITIONS crystal
P 0.0000 0.5000 0.0000
P 0.5000 0.0000 0.0000
Cl 0.0000 0.0000 0.5000
Os 0.0000 0.0000 0.0000
La 0.5000 0.5000 0.5000
```

---

Result of the stability comparison: w is the least stable of them.

---

## w
Entry from the Alexandria database: LaOsSCl2 after structural relaxation (PBE). Values from VASP.

Crystal system: tetragonal
Space-group type: No. 123
DOS at the Fermi energy: 2.6 states/eV/cell

```
&SYSTEM
  ibrav = 0, nat = 5, ntyp = 4
/
ATOMIC_SPECIES
S 32.06 S.upf
Cl 35.45 Cl.upf
Os 190.23 Os.upf
La 138.91 La.upf
CELL_PARAMETERS angstrom
4.7090 0.0000 0.0000
0.0000 4.7090 0.0000
0.0000 0.0000 4.7995
ATOMIC_POSITIONS crystal
S 0.0000 0.0000 0.5000
Cl 0.0000 0.5000 0.0000
Cl 0.5000 0.0000 0.0000
Os 0.0000 0.0000 0.0000
La 0.5000 0.5000 0.5000
```

---

## x
Entry from the Alexandria database: LaOsSCl2 after structural relaxation (PBE). Values from VASP.

Crystal system: tetragonal
Space-group type: No. 123
DOS at the Fermi energy: 7.2 states/eV/cell

```
&SYSTEM
  ibrav = 0, nat = 5, ntyp = 4
/
ATOMIC_SPECIES
S 32.06 S.upf
Cl 35.45 Cl.upf
Os 190.23 Os.upf
La 138.91 La.upf
CELL_PARAMETERS angstrom
5.5255 0.0000 0.0000
0.0000 5.5255 0.0000
0.0000 0.0000 5.6031
ATOMIC_POSITIONS crystal
S 0.0000 0.0000 0.5000
Cl 0.0000 0.5000 0.0000
Cl 0.5000 0.0000 0.0000
Os 0.5000 0.5000 0.5000
La 0.0000 0.0000 0.0000
```

---

Result of the stability comparison: x is the least stable of them.

---

## w
Entry from the Alexandria database: LaP2Cl after structural relaxation (PBE). Values from VASP.

Crystal system: tetragonal
Space-group type: No. 139
DOS at the Fermi energy: 0.4 states/eV/cell

```
&SYSTEM
  ibrav = 0, nat = 4, ntyp = 3
/
ATOMIC_SPECIES
Cl 35.45 Cl.upf
La 138.91 La.upf
P 30.97 P.upf
CELL_PARAMETERS angstrom
-3.7932 3.5399 -3.1122
-6.0266 0.0343 0.5327
5.0950 0.1431 3.2597
ATOMIC_POSITIONS crystal
Cl 0.2500 0.7500 0.5000
La 0.7500 0.2500 0.5000
P 0.0000 0.0000 0.0000
P 0.5000 0.5000 0.0000
```

---

## x
Entry from the Alexandria database: LaP2Cl after structural relaxation (PBE). Values from VASP.

Crystal system: monoclinic
Space-group type: No. 10
DOS at the Fermi energy: 3.5 states/eV/cell

```
&SYSTEM
  ibrav = 0, nat = 4, ntyp = 3
/
ATOMIC_SPECIES
Cl 35.45 Cl.upf
La 138.91 La.upf
P 30.97 P.upf
CELL_PARAMETERS angstrom
4.2097 0.0000 0.0000
0.0000 4.2224 0.0139
0.0000 4.2182 5.7703
ATOMIC_POSITIONS crystal
Cl 0.5000 0.2500 0.2500
La 0.5000 0.7500 0.7500
P 0.0000 0.0687 0.9315
P 0.0000 0.4313 0.5685
```

---

## y
Entry from the Alexandria database: LaP2Cl after structural relaxation (PBE). Values from VASP.

Crystal system: monoclinic
Space-group type: No. 6
DOS at the Fermi energy: 0.3 states/eV/cell

```
&SYSTEM
  ibrav = 0, nat = 4, ntyp = 3
/
ATOMIC_SPECIES
Cl 35.45 Cl.upf
La 138.91 La.upf
P 30.97 P.upf
CELL_PARAMETERS angstrom
3.5284 0.0000 0.0000
0.0000 3.7972 0.0014
0.0000 1.7074 7.9717
ATOMIC_POSITIONS crystal
Cl 0.0000 0.4110 0.5790
La 0.5000 0.8134 0.7956
P 0.0000 0.2194 0.9822
P 0.5000 0.0562 0.1432
```

---

Result of the stability comparison: x is the least stable of them.

---

## w
Entry from the Alexandria database: LaP2Cl after structural relaxation (PBE). Values from VASP.

Crystal system: tetragonal
Space-group type: No. 122
DOS at the Fermi energy: 0.0 states/eV/cell

```
&SYSTEM
  ibrav = 0, nat = 8, ntyp = 3
/
ATOMIC_SPECIES
P 30.97 P.upf
Cl 35.45 Cl.upf
La 138.91 La.upf
CELL_PARAMETERS angstrom
3.9053 0.0000 0.0000
0.0000 3.9053 0.0000
1.9527 1.9527 11.9191
ATOMIC_POSITIONS crystal
P 0.5522 0.1250 0.2500
P 0.1978 0.6250 0.2500
P 0.3750 0.4478 0.7500
P 0.8750 0.8022 0.7500
Cl 0.5000 0.5000 0.0000
Cl 0.2500 0.7500 0.5000
La 0.0000 0.0000 0.0000
La 0.7500 0.2500 0.5000
```

---

## x
Entry from the Alexandria database: LaP2Cl after structural relaxation (PBE). Values from VASP.

Crystal system: tetragonal
Space-group type: No. 119
DOS at the Fermi energy: 2.2 states/eV/cell

```
&SYSTEM
  ibrav = 0, nat = 4, ntyp = 3
/
ATOMIC_SPECIES
Cl 35.45 Cl.upf
La 138.91 La.upf
P 30.97 P.upf
CELL_PARAMETERS angstrom
5.1490 -0.0083 0.0000
0.9571 5.0593 0.0000
-3.0531 -2.5255 3.2883
ATOMIC_POSITIONS crystal
Cl 0.5000 0.5000 0.0000
La 0.7500 0.2500 0.5000
P 0.0000 0.0000 0.0000
P 0.2500 0.7500 0.5000
```

---

## y
Entry from the Alexandria database: LaP2Cl after structural relaxation (PBE). Values from VASP.

Crystal system: cubic
Space-group type: No. 225
DOS at the Fermi energy: 4.0 states/eV/cell

```
&SYSTEM
  ibrav = 0, nat = 4, ntyp = 3
/
ATOMIC_SPECIES
P 30.97 P.upf
Cl 35.45 Cl.upf
La 138.91 La.upf
CELL_PARAMETERS angstrom
2.5914 -3.0053 -3.0588
2.9068 -3.6090 1.9051
-1.3219 -4.8068 -0.5006
ATOMIC_POSITIONS crystal
P 0.2500 0.2500 0.2500
P 0.7500 0.7500 0.7500
Cl 0.0000 0.0000 0.0000
La 0.5000 0.5000 0.5000
```

---

## z
Entry from the Alexandria database: LaP2Cl after structural relaxation (PBE). Values from VASP.

Crystal system: monoclinic
Space-group type: No. 12
DOS at the Fermi energy: 0.8 states/eV/cell

```
&SYSTEM
  ibrav = 0, nat = 4, ntyp = 3
/
ATOMIC_SPECIES
Cl 35.45 Cl.upf
La 138.91 La.upf
P 30.97 P.upf
CELL_PARAMETERS angstrom
5.8276 -0.0082 0.0075
4.7472 3.3801 0.0075
0.8596 0.2741 4.6923
ATOMIC_POSITIONS crystal
Cl 0.7500 0.7500 0.7500
La 0.2500 0.2500 0.2500
P 0.9895 0.9895 0.1090
P 0.5105 0.5105 0.3910
```

---

Result of the stability comparison: y is the least stable of them.

---

## w
Entry from the Alexandria database: LaP2Cl after structural relaxation (PBE). Values from VASP.

Crystal system: tetragonal
Space-group type: No. 123
DOS at the Fermi energy: 2.0 states/eV/cell

```
&SYSTEM
  ibrav = 0, nat = 4, ntyp = 3
/
ATOMIC_SPECIES
Cl 35.45 Cl.upf
La 138.91 La.upf
P 30.97 P.upf
CELL_PARAMETERS angstrom
-2.8647 2.5392 0.7750
0.4760 -0.6302 3.8250
3.6284 4.0287 0.2122
ATOMIC_POSITIONS crystal
Cl 0.5000 0.0000 0.5000
La 0.0000 0.5000 0.5000
P 0.0000 0.0000 0.0000
P 0.5000 0.5000 0.0000
```

---

## x
Entry from the Alexandria database: LaP2Cl after structural relaxation (PBE). Values from VASP.

Crystal system: orthorhombic
Space-group type: No. 44
DOS at the Fermi energy: 0.4 states/eV/cell

```
&SYSTEM
  ibrav = 0, nat = 4, ntyp = 3
/
ATOMIC_SPECIES
Cl 35.45 Cl.upf
La 138.91 La.upf
P 30.97 P.upf
CELL_PARAMETERS angstrom
-1.9583 3.8985 3.1298
-3.8562 2.3813 -2.8789
1.1967 -4.8111 2.0616
ATOMIC_POSITIONS crystal
Cl 0.5188 0.5188 0.0000
La 0.2512 0.7512 0.5000
P 0.9414 0.9414 0.0000
P 0.7886 0.2886 0.5000
```

---

Result of the stability comparison: w is the least stable of them.